Below is crystalline Ac2TlCl2O2 at its relaxed geometry, with properties calculated at the PBE level.

a b c (Å): 4.2081 4.2081 13.8663
angles (deg): 90.00 90.00 120.00
Space group P-3m1 (No. 164)
Inequivalent atoms, fractional coordinates:
Ac (0.3333, 0.6667, 0.3861) [2 per cell]
Tl (0.0000, 0.0000, 0.0000) [1 per cell]
Cl (0.0000, 0.0000, 0.2521) [2 per cell]
O (0.3333, 0.6667, 0.5663) [2 per cell]

## Properties
V: 30.4 Å³ per atom
total magnetic moment: 0.000 μB/cell
E_form (uncorrected): -2.5161 eV per atom